[1]
A plane-wave DFT calculation with PBE-GGA was carried out for a geometry-optimized Sm2Co15Cu2 structure.

Calculated values
Total energy   -125.0 eV for the cell shown
Space-group type   R-3m

a = 6.309 Å, b = 6.309 Å, c = 6.309 Å
α = 83.60°, β = 83.60°, γ = 83.60°
Positions (direct):
1 Co 0.286 0.714 0.000
2 Co 0.653 0.153 0.653
3 Co 0.000 0.286 0.714
4 Co 0.000 0.714 0.286
5 Co 0.347 0.847 0.347
6 Co 0.500 0.000 0.000
7 Co 0.714 0.286 0.000
8 Co 0.847 0.347 0.347
9 Co 0.000 0.000 0.500
10 Co 0.714 0.000 0.286
11 Co 0.653 0.653 0.153
12 Co 0.286 0.000 0.714
13 Co 0.153 0.653 0.653
14 Co 0.000 0.500 0.000
15 Co 0.347 0.347 0.847
16 Cu 0.899 0.899 0.899
17 Cu 0.101 0.101 0.101
18 Sm 0.344 0.344 0.344
19 Sm 0.656 0.656 0.656



[2]
A plane-wave DFT calculation with PBE-GGA was carried out for a geometry-optimized SmCoCu structure.

Calculated values
Energy above the lowest structure with this stoichiometry   0.96 kJ/mol of atoms
Space-group type   Cmcm

a = 3.805 Å, b = 3.793 Å, c = 8.038 Å
α = 103.65°, β = 90.00°, γ = 90.00°
Positions (direct):
1 Sm 0.250 0.891 0.782
2 Sm 0.750 0.109 0.218
3 Co 0.750 0.462 0.925
4 Co 0.250 0.538 0.075
5 Cu 0.250 0.703 0.407
6 Cu 0.750 0.297 0.593



[3]
A plane-wave DFT calculation with PBE-GGA was carried out for a geometry-optimized Sm4CoCu3 structure.

Calculated values
Total energy   -39.7 eV for the cell shown
Space-group type   Pmm2

a = 3.839 Å, b = 4.430 Å, c = 10.511 Å
α = 90.00°, β = 90.00°, γ = 90.00°
Positions (direct):
1 Sm 0.500 0.500 0.348
2 Sm 0.000 0.500 0.870
3 Sm 0.500 0.000 0.642
4 Sm 0.000 0.000 0.138
5 Co 0.500 0.500 0.073
6 Cu 0.500 0.000 0.933
7 Cu 0.000 0.000 0.431
8 Cu 0.000 0.500 0.565



Number 1: magnetic moment 21.63 μB/cell, volume 12.99 A^3/atom, density of states at the Fermi level 23.1 states/eV/cell. Number 2: magnetic moment 1.31 μB/cell, volume 18.79 A^3/atom, density of states at the Fermi level 4.6 states/eV/cell. Number 3: magnetic moment 0.00 μB/cell, volume 22.34 A^3/atom, density of states at the Fermi level 7.8 states/eV/cell.